# 1
VASP calculation (PBE-GGA) on an optimized crystal structure of Mo2PtRh.

Distance to the lowest polymorph of the same formula = 113 meV/atom
Energy relative to the elements = -0.7 eV/f.u.

a = 4.7866 Å, b = 4.7866 Å, c = 4.9254 Å
α = 81.06°, β = 81.06°, γ = 33.29°
Atoms (fractional coordinates):
1 Mo 0.9990 0.9990 0.0220
2 Mo 0.7497 0.7497 0.7330
3 Pt 0.4986 0.4986 0.5126
4 Rh 0.2528 0.2528 0.2324



# 2
VASP calculation (PBE-GGA) on an optimized crystal structure of MoPt3Rh4.

Distance to the lowest polymorph of the same formula = 245 meV/atom
Energy relative to the elements = 0.5 eV/f.u.

a = 4.7399 Å, b = 2.7305 Å, c = 10.5337 Å
α = 112.80°, β = 103.00°, γ = 90.00°
Atoms (fractional coordinates):
1 Mo 0.5000 0.0000 0.0000
2 Pt 0.0000 0.5000 0.0000
3 Pt 0.2486 0.2466 0.4972
4 Pt 0.7514 0.7534 0.5028
5 Rh 0.6214 0.8646 0.2427
6 Rh 0.3786 0.1354 0.7573
7 Rh 0.8763 0.6292 0.7526
8 Rh 0.1237 0.3708 0.2474



# 3
VASP calculation (PBE-GGA) on an optimized crystal structure of Mo2Pt3Rh3.

Energy relative to the elements = -1.0 eV/f.u.

a = 4.9951 Å, b = 4.9951 Å, c = 4.9951 Å
α = 85.55°, β = 85.55°, γ = 94.45°
Atoms (fractional coordinates):
1 Mo 0.2600 0.2600 0.7400
2 Mo 0.7400 0.7400 0.2600
3 Pt 0.2713 0.7287 0.0000
4 Pt 0.0000 0.2713 0.2713
5 Pt 0.7287 0.0000 0.7287
6 Rh 0.2094 0.7906 0.5000
7 Rh 0.5000 0.2094 0.2094
8 Rh 0.7906 0.5000 0.7906



# 4
VASP calculation (PBE-GGA) on an optimized crystal structure of Mo2Pt6Rh3.

Energy relative to the elements = 0.4 eV/f.u.

a = 4.7180 Å, b = 4.7208 Å, c = 18.9354 Å
α = 97.17°, β = 82.84°, γ = 60.02°
Atoms (fractional coordinates):
1 Mo 0.3322 0.8340 0.0000
2 Mo 0.8338 0.3340 0.5000
3 Mo 0.6678 0.1660 0.0000
4 Mo 0.1662 0.6660 0.5000
5 Pt 0.1220 0.7080 0.8786
6 Pt 0.4530 0.0470 0.8786
7 Pt 0.7917 0.3783 0.8789
8 Pt 0.2914 0.2080 0.3786
9 Pt 0.9512 0.8783 0.3789
10 Pt 0.6213 0.5470 0.3786
11 Pt 0.8780 0.2920 0.1214
12 Pt 0.5470 0.9530 0.1214
13 Pt 0.2083 0.6217 0.1211
14 Pt 0.7086 0.7920 0.6214
15 Pt 0.0488 0.1217 0.6211
16 Pt 0.3787 0.4530 0.6214
17 Rh 0.2500 0.9125 0.7501
18 Rh 0.5879 0.2500 0.7500
19 Rh 0.9126 0.5875 0.7499
20 Rh 0.0874 0.4125 0.2501
21 Rh 0.7500 0.0875 0.2499
22 Rh 0.4121 0.7500 0.2500



# 5
VASP calculation (PBE-GGA) on an optimized crystal structure of MoPt2Rh4.

Distance to the lowest polymorph of the same formula = 0 meV/atom
Energy relative to the elements = -1.3 eV/f.u.

a = 5.4960 Å, b = 7.2933 Å, c = 6.1540 Å
α = 104.65°, β = 102.93°, γ = 112.15°
Atoms (fractional coordinates):
1 Mo 0.0554 0.5574 0.3954
2 Mo 0.2570 0.1154 0.0998
3 Pt 0.5558 0.5489 0.3969
4 Pt 0.1890 0.2631 0.5259
5 Pt 0.6299 0.4164 0.9681
6 Pt 0.4079 0.8368 0.2406
7 Rh 0.8478 0.9916 0.6899
8 Rh 0.4746 0.6909 0.8119
9 Rh 0.6946 0.2626 0.5305
10 Rh 0.7690 0.1327 0.1060
11 Rh 0.9823 0.7009 0.8138
12 Rh 0.9193 0.8444 0.2577
13 Rh 0.1276 0.4118 0.9766
14 Rh 0.3398 0.9771 0.6869



# 6
VASP calculation (PBE-GGA) on an optimized crystal structure of MoPt6Rh5.

Energy relative to the elements = -1.5 eV/f.u.

a = 3.9025 Å, b = 7.3192 Å, c = 7.3192 Å
α = 106.20°, β = 105.45°, γ = 105.45°
Atoms (fractional coordinates):
1 Mo 0.0000 0.0000 0.0000
2 Rh 0.5000 0.1618 0.8382
3 Rh 0.0000 0.3382 0.6618
4 Rh 0.5000 0.5000 0.5000
5 Rh 0.0000 0.6618 0.3382
6 Rh 0.5000 0.8382 0.1618
7 Pt 0.2478 0.0809 0.4145
8 Pt 0.7522 0.5855 0.9191
9 Pt 0.7451 0.2451 0.2451
10 Pt 0.2549 0.7549 0.7549
11 Pt 0.2478 0.4145 0.0809
12 Pt 0.7522 0.9191 0.5855



# 7
VASP calculation (PBE-GGA) on an optimized crystal structure of Mo2Pt3Rh6.

Energy relative to the elements = -0.3 eV/f.u.

a = 5.4677 Å, b = 5.4807 Å, c = 10.2380 Å
α = 131.18°, β = 48.54°, γ = 119.59°
Atoms (fractional coordinates):
1 Mo 0.9507 0.2108 0.6760
2 Mo 0.0571 0.5738 0.3281
3 Pt 0.5071 0.1402 0.0002
4 Pt 0.5593 0.0650 0.3262
5 Pt 0.4388 0.6945 0.6702
6 Rh 0.5088 0.6293 0.9955
7 Rh 0.5617 0.5760 0.3243
8 Rh 0.0037 0.1532 0.0039
9 Rh 0.0372 0.0717 0.3442
10 Rh 0.4243 0.1992 0.6756
11 Rh 0.9513 0.6864 0.6559



# 8
VASP calculation (PBE-GGA) on an optimized crystal structure of MoPtRh.

Distance to the lowest polymorph of the same formula = 63 meV/atom
Energy relative to the elements = -0.8 eV/f.u.

a = 2.7656 Å, b = 4.4480 Å, c = 7.5010 Å
α = 90.00°, β = 100.83°, γ = 90.00°
Atoms (fractional coordinates):
1 Mo 0.0525 0.2500 0.1060
2 Mo 0.9475 0.7500 0.8940
3 Pt 0.7181 0.2500 0.4379
4 Pt 0.2819 0.7500 0.5621
5 Rh 0.3916 0.2500 0.7869
6 Rh 0.6084 0.7500 0.2131



# 9
VASP calculation (PBE-GGA) on an optimized crystal structure of Mo2PtRh.

Distance to the lowest polymorph of the same formula = 233 meV/atom
Energy relative to the elements = -0.2 eV/f.u.

a = 9.3864 Å, b = 9.3864 Å, c = 9.3864 Å
α = 17.02°, β = 17.02°, γ = 17.02°
Atoms (fractional coordinates):
1 Mo 0.0044 0.0044 0.0044
2 Mo 0.2481 0.2481 0.2481
3 Pt 0.5003 0.5003 0.5003
4 Rh 0.7472 0.7472 0.7472



# 10
VASP calculation (PBE-GGA) on an optimized crystal structure of MoPt2Rh.

Distance to the lowest polymorph of the same formula = 58 meV/atom
Energy relative to the elements = -0.8 eV/f.u.

a = 4.8306 Å, b = 4.8306 Å, c = 4.8126 Å
α = 80.39°, β = 80.39°, γ = 33.35°
Atoms (fractional coordinates):
1 Mo 0.2480 0.2480 0.2545
2 Rh 0.5038 0.5038 0.4927
3 Pt 0.9966 0.9966 0.0055
4 Pt 0.7516 0.7516 0.7473



# 11
VASP calculation (PBE-GGA) on an optimized crystal structure of MoPtRh3.

Distance to the lowest polymorph of the same formula = 807 meV/atom
Energy relative to the elements = 4.6 eV/f.u.

a = 5.2264 Å, b = 5.2264 Å, c = 5.2261 Å
α = 60.00°, β = 60.00°, γ = 60.00°
Atoms (fractional coordinates):
1 Mo 0.4750 0.4750 0.5750
2 Pt 0.9750 0.9750 0.0750
3 Rh 0.4750 0.9750 0.5750
4 Rh 0.9750 0.4750 0.5750
5 Rh 0.9750 0.9750 0.5750



# 12
VASP calculation (PBE-GGA) on an optimized crystal structure of MoPt2Rh.

Distance to the lowest polymorph of the same formula = 66 meV/atom
Energy relative to the elements = -0.8 eV/f.u.

a = 2.7483 Å, b = 2.7483 Å, c = 8.0382 Å
α = 90.00°, β = 90.00°, γ = 90.00°
Atoms (fractional coordinates):
1 Mo 0.5000 0.5000 0.7500
2 Rh 0.5000 0.5000 0.2500
3 Pt 0.0000 0.0000 0.9969
4 Pt 0.0000 0.0000 0.5031